Sr3Pr2NpN6 PBE relaxed; uncorrected energy = -7.54 eV/atom; ΔE_f (raw) = -1.086 eV/atom; calculated volume = 209 Å³ per cell; space-group type = C2/m (12)
1.0
3.163 -5.479 0.000
3.163 5.479 0.000
-2.116 0.000 6.043
Sr Pr Np N
3 2 1 6
direct
0.000 0.000 0.000 Sr
0.337 0.663 0.000 Sr
0.663 0.337 0.000 Sr
0.167 0.833 0.500 Pr
0.833 0.167 0.500 Pr
0.500 0.500 0.500 Np
0.136 0.431 0.291 N
0.275 0.275 0.706 N
0.431 0.136 0.291 N
0.569 0.864 0.709 N
0.725 0.725 0.294 N
0.864 0.569 0.709 N